{
  "formula": "Tc3HgC",
  "functional": "PBE-GGA",
  "state": "optimized geometry",
  "ef_ev_per_atom": 0.38,
  "lattice": [[4.139, 0.000, 0.000], [0.000, 4.139, 0.000], [0.000, 0.000, 4.139]],
  "species": ["Tc", "Tc", "Tc", "Hg", "C"],
  "fractional_positions": [[0.000, 0.000, 0.500], [0.000, 0.500, 0.000], [0.500, 0.000, 0.000], [0.500, 0.500, 0.500], [0.000, 0.000, 0.000]]
}

{
  "formula": "AcLaGdPb",
  "functional": "PBE-GGA",
  "state": "optimized geometry",
  "ef_ev_per_atom": -0.13,
  "lattice": [[0.000, 4.066, 4.066], [4.066, 0.000, 4.066], [4.066, 4.066, 0.000]],
  "species": ["Ac", "La", "Gd", "Pb"],
  "fractional_positions": [[0.000, 0.000, 0.000], [0.250, 0.250, 0.250], [0.750, 0.750, 0.750], [0.500, 0.500, 0.500]]
}

{
  "formula": "Pa2GaH3",
  "functional": "PBE-GGA",
  "state": "optimized geometry",
  "final_energy_ha_per_atom": -0.206,
  "lattice": [[-2.087, 3.176, 5.929], [2.087, -3.176, 5.929], [2.087, 3.176, -5.929]],
  "species": ["Pa", "Pa", "Pa", "Pa", "Ga", "Ga", "H", "H", "H", "H", "H", "H"],
  "fractional_positions": [[0.188, 0.188, 0.000], [0.271, 0.500, 0.771], [0.729, 0.500, 0.229], [0.812, 0.812, 0.000], [0.370, 0.870, 0.500], [0.630, 0.130, 0.500], [0.003, 0.691, 0.313], [0.149, 0.000, 0.149], [0.378, 0.691, 0.687], [0.622, 0.309, 0.313], [0.851, 0.000, 0.851], [0.997, 0.309, 0.687]]
}

{
  "formula": "BeH2Ru",
  "functional": "PBE-GGA",
  "state": "optimized geometry",
  "final_energy_ha_per_atom": -0.176,
  "lattice": [[1.446, 0.835, 4.117], [-1.446, 0.835, 4.117], [0.000, -1.670, 4.117]],
  "species": ["Be", "H", "H", "Ru"],
  "fractional_positions": [[0.000, 0.000, 0.000], [0.596, 0.596, 0.596], [0.784, 0.784, 0.784], [0.192, 0.192, 0.192]]
}

{
  "formula": "Mo2AsBr",
  "functional": "PBE-GGA",
  "state": "optimized geometry",
  "e_form_raw_ev_per_atom": 0.133,
  "lattice": [[3.163, 0.000, 0.000], [0.000, 3.163, 0.000], [0.000, 0.000, 7.925]],
  "species": ["Mo", "Mo", "As", "Br"],
  "fractional_positions": [[0.000, 0.000, 0.000], [0.500, 0.500, 0.202], [0.000, 0.000, 0.373], [0.500, 0.500, 0.769]]
}

{
  "formula": "Tb7Cd4Pb",
  "functional": "PBE-GGA",
  "state": "optimized geometry",
  "ef_ev_per_atom": -0.13,
  "lattice": [[7.382, -2.913, 0.000], [7.382, 2.913, 0.000], [-4.598, 0.000, 8.039]],
  "species": ["Tb", "Tb", "Tb", "Tb", "Tb", "Tb", "Tb", "Cd", "Cd", "Cd", "Cd", "Pb"],
  "fractional_positions": [[0.000, 0.000, 0.000], [0.235, 0.235, 0.701], [0.319, 0.319, 0.125], [0.424, 0.424, 0.587], [0.576, 0.576, 0.413], [0.681, 0.681, 0.875], [0.765, 0.765, 0.299], [0.027, 0.027, 0.681], [0.189, 0.189, 0.338], [0.811, 0.811, 0.662], [0.973, 0.973, 0.319], [0.500, 0.500, 0.000]]
}

{
  "formula": "Rb2ErTeO6",
  "functional": "PBE-GGA",
  "state": "optimized geometry",
  "e_form_raw_ev_per_atom": -1.832,
  "lattice": [[0.000, 4.223, 4.223], [4.223, 0.000, 4.223], [4.223, 4.223, 0.000]],
  "species": ["Rb", "Rb", "Er", "Te", "O", "O", "O", "O", "O", "O"],
  "fractional_positions": [[0.250, 0.250, 0.250], [0.750, 0.750, 0.750], [0.000, 0.000, 0.000], [0.500, 0.500, 0.500], [0.268, 0.268, 0.732], [0.268, 0.732, 0.268], [0.268, 0.732, 0.732], [0.732, 0.268, 0.268], [0.732, 0.268, 0.732], [0.732, 0.732, 0.268]]
}

{
  "formula": "NaHfTl",
  "functional": "PBE-GGA",
  "state": "optimized geometry",
  "ef_ev_per_atom": -0.01,
  "lattice": [[3.198, 0.000, 0.000], [0.000, 3.198, 0.000], [0.000, 0.000, 15.217]],
  "species": ["Na", "Na", "Hf", "Hf", "Tl", "Tl"],
  "fractional_positions": [[0.250, 0.250, 0.107], [0.750, 0.750, 0.893], [0.250, 0.250, 0.432], [0.750, 0.750, 0.568], [0.250, 0.250, 0.731], [0.750, 0.750, 0.269]]
}

{
  "formula": "SiTcRhSe2",
  "functional": "PBE-GGA",
  "state": "optimized geometry",
  "e_form_raw_ev_per_atom": 0.837,
  "lattice": [[4.799, 0.000, 0.000], [0.000, 4.799, 0.000], [0.000, 0.000, 4.626]],
  "species": ["Si", "Tc", "Rh", "Se", "Se"],
  "fractional_positions": [[0.000, 0.000, 0.000], [0.000, 0.000, 0.500], [0.500, 0.500, 0.000], [0.000, 0.500, 0.500], [0.500, 0.000, 0.500]]
}

{
  "formula": "CuSn2Bi",
  "functional": "PBE-GGA",
  "state": "optimized geometry",
  "ef_ev_per_atom": 0.13,
  "lattice": [[3.266, 0.000, 0.000], [0.000, 3.266, 0.000], [0.000, 0.000, 9.283]],
  "species": ["Cu", "Sn", "Sn", "Bi"],
  "fractional_positions": [[0.000, 0.000, 0.000], [0.500, 0.500, 0.190], [0.500, 0.500, 0.810], [0.000, 0.000, 0.500]]
}

{
  "formula": "Ag7Pd2Au3",
  "functional": "PBE-GGA",
  "state": "optimized geometry",
  "ef_ev_per_atom": 0.05,
  "lattice": [[4.727, 0.000, 0.000], [0.000, 2.859, 0.000], [-0.830, 0.000, 16.165]],
  "species": ["Ag", "Ag", "Ag", "Ag", "Ag", "Ag", "Ag", "Pd", "Pd", "Au", "Au", "Au"],
  "fractional_positions": [[0.000, 0.000, 0.000], [0.182, 0.500, 0.203], [0.257, 0.500, 0.540], [0.327, 0.000, 0.854], [0.673, 0.000, 0.146], [0.743, 0.500, 0.460], [0.818, 0.500, 0.797], [0.300, 0.500, 0.704], [0.700, 0.500, 0.296], [0.219, 0.000, 0.371], [0.500, 0.500, 0.000], [0.781, 0.000, 0.629]]
}

{
  "formula": "B5C",
  "functional": "PBE-GGA",
  "state": "optimized geometry",
  "ef_ev_per_atom": 0.33,
  "lattice": [[6.209, -1.398, 0.000], [6.209, 1.398, 0.000], [-1.121, 0.000, 4.959]],
  "species": ["B", "B", "B", "B", "B", "B", "B", "B", "B", "B", "C", "C"],
  "fractional_positions": [[0.000, 0.000, 0.000], [0.000, 0.000, 0.343], [0.169, 0.169, 0.407], [0.313, 0.313, 0.522], [0.334, 0.334, 0.953], [0.459, 0.459, 0.573], [0.553, 0.553, 0.881], [0.582, 0.582, 0.243], [0.669, 0.669, 0.776], [0.872, 0.872, 0.413], [0.224, 0.224, 0.727], [0.879, 0.879, 0.082]]
}

{
  "formula": "Na2PdPt",
  "functional": "PBE-GGA",
  "state": "optimized geometry",
  "ef_ev_per_atom": 0.10,
  "lattice": [[0.000, 3.314, 3.314], [3.314, 0.000, 3.314], [3.314, 3.314, 0.000]],
  "species": ["Na", "Na", "Pd", "Pt"],
  "fractional_positions": [[0.250, 0.250, 0.250], [0.750, 0.750, 0.750], [0.000, 0.000, 0.000], [0.500, 0.500, 0.500]]
}